VASP calculation (PBE+U) on an optimized crystal structure of Zr2Fe2F3.

Calculated values
M_tot: 4.923 μB/f.u.
excess energy over the best structure of this formula in the dataset: 34 meV per atom
space-group type: Cm

Unit cell a=8.297 b=8.297 c=4.071 alpha=75.36 beta=75.36 gamma=65.02
Last column: magnetic moment on the atom in μB.
Atoms (fractional coordinates):
Zr 0.786 0.196 0.589  -0.42
F 0.820 0.104 0.130  -0.01
Fe 0.461 0.461 0.530  2.55
F 0.386 0.863 0.781  0.00
Fe 0.819 0.819 0.004  3.65
Zr 0.586 0.586 0.884  -0.42
F 0.742 0.742 0.522  0.04
F 0.104 0.820 0.130  -0.01
Fe 0.055 0.507 0.723  3.40
Zr 0.343 0.343 0.146  -0.79
F 0.863 0.386 0.781  0.00
Fe 0.507 0.055 0.723  3.40
Zr 0.196 0.786 0.589  -0.42
F 0.083 0.083 0.468  -0.01